The following is a GGA-PBEsol calculation of an optimized crystal structure of Ca4Sm2Cu3Cl4O8, from Alexandria.

Output
total DFT energy (no corrections)	-6.18	eV per atom

```
data_Ca4Sm2Cu3Cl4O8
_symmetry_space_group_name_H-M 'I 4/m m m'
_symmetry_Int_Tables_number 139
_symmetry_space_group_name_Hall '-I 4 2'
_cell_length_a 3.851
_cell_length_b 3.851
_cell_length_c 41.400
_cell_angle_alpha 90.00
_cell_angle_beta 90.00
_cell_angle_gamma 90.00
loop_
_atom_site_label
_atom_site_type_symbol
_atom_site_fract_x
_atom_site_fract_y
_atom_site_fract_z
Ca1 Ca 0.000 0.000 0.038
Ca2 Ca 0.000 0.000 0.359
Sm1 Sm 0.000 0.000 0.279
Cu1 Cu 0.000 0.000 0.178
Cu2 Cu 0.000 0.000 0.500
Cl1 Cl 0.000 0.000 0.112
Cl2 Cl 0.000 0.000 0.435
O1 O 0.000 0.500 0.000
O2 O 0.000 0.500 0.177
O3 O 0.000 0.500 0.250
```


The following is a GGA-PBEsol calculation of an optimized crystal structure of CaSmCuClO3, from Alexandria.

Output
total DFT energy (no corrections)	-6.57	eV per atom

```
data_CaSmCuClO3
_symmetry_space_group_name_H-M 'P 4/n m m'
_symmetry_Int_Tables_number 129
_cell_length_a 3.860
_cell_length_b 3.860
_cell_length_c 13.314
_cell_angle_alpha 90.00
_cell_angle_beta 90.00
_cell_angle_gamma 90.00
loop_
_symmetry_equiv_pos_as_xyz
'x,y,z'
'-x,-y,-z'
'-y+1/2,x,z'
'y+1/2,-x,-z'
'-x+1/2,-y+1/2,z'
'x+1/2,y+1/2,-z'
'y,-x+1/2,z'
'-y,x+1/2,-z'
'x+1/2,-y,-z'
'-x+1/2,y,z'
'-y,-x,-z'
'y,x,z'
'-x,y+1/2,-z'
'x,-y+1/2,z'
'y+1/2,x+1/2,-z'
'-y+1/2,-x+1/2,z'
loop_
_atom_site_label
_atom_site_type_symbol
_atom_site_fract_x
_atom_site_fract_y
_atom_site_fract_z
Ca1 Ca 0.250 0.250 0.160
Sm1 Sm 0.250 0.250 0.410
Cu1 Cu 0.250 0.250 0.723
Cl1 Cl 0.250 0.250 0.926
O1 O 0.250 0.750 0.274
O2 O 0.250 0.750 0.500
```


The following is a GGA-PBEsol calculation of an optimized crystal structure of CaClF2, from Alexandria.

Output
total DFT energy (no corrections)	-4.84	eV per atom

```
data_CaClF2
_symmetry_space_group_name_H-M 'C 1 m 1'
_symmetry_Int_Tables_number 8
_symmetry_space_group_name_Hall 'C -2y'
_cell_length_a 11.461
_cell_length_b 4.291
_cell_length_c 7.632
_cell_angle_alpha 90.00
_cell_angle_beta 122.35
_cell_angle_gamma 90.00
loop_
_atom_site_label
_atom_site_type_symbol
_atom_site_fract_x
_atom_site_fract_y
_atom_site_fract_z
Ca1 Ca 0.000 0.000 0.000
Ca2 Ca 0.211 0.000 0.659
Cl1 Cl 0.280 0.500 0.141
Cl2 Cl 0.407 0.500 0.454
F1 F 0.084 0.000 0.800
F2 F 0.134 0.000 0.332
F3 F 0.268 0.500 0.736
F4 F 0.435 0.000 0.929
```


The following is a GGA-PBEsol calculation of an optimized crystal structure of CaClF, from Alexandria.

Output
total DFT energy (no corrections)	-5.23	eV per atom

```
data_CaClF
_symmetry_space_group_name_H-M 'P 4/n m m'
_symmetry_Int_Tables_number 129
_cell_length_a 3.844
_cell_length_b 3.844
_cell_length_c 6.766
_cell_angle_alpha 90.00
_cell_angle_beta 90.00
_cell_angle_gamma 90.00
loop_
_symmetry_equiv_pos_as_xyz
'x,y,z'
'-x,-y,-z'
'-y+1/2,x,z'
'y+1/2,-x,-z'
'-x+1/2,-y+1/2,z'
'x+1/2,y+1/2,-z'
'y,-x+1/2,z'
'-y,x+1/2,-z'
'x+1/2,-y,-z'
'-x+1/2,y,z'
'-y,-x,-z'
'y,x,z'
'-x,y+1/2,-z'
'x,-y+1/2,z'
'y+1/2,x+1/2,-z'
'-y+1/2,-x+1/2,z'
loop_
_atom_site_label
_atom_site_type_symbol
_atom_site_fract_x
_atom_site_fract_y
_atom_site_fract_z
Ca1 Ca 0.250 0.250 0.196
Cl1 Cl 0.250 0.250 0.643
F1 F 0.250 0.750 0.000
```


The following is a GGA-PBEsol calculation of an optimized crystal structure of CaN2ClF, from Alexandria.

Output
total DFT energy (no corrections)	-4.32	eV per atom

```
data_CaN2ClF
_symmetry_space_group_name_H-M 'P 4/m m m'
_symmetry_Int_Tables_number 123
_symmetry_space_group_name_Hall '-P 4 2'
_cell_length_a 3.584
_cell_length_b 3.584
_cell_length_c 4.819
_cell_angle_alpha 90.00
_cell_angle_beta 90.00
_cell_angle_gamma 90.00
loop_
_atom_site_label
_atom_site_type_symbol
_atom_site_fract_x
_atom_site_fract_y
_atom_site_fract_z
Ca1 Ca 0.000 0.000 0.000
N1 N 0.000 0.500 0.500
Cl1 Cl 0.500 0.500 0.500
F1 F 0.500 0.500 0.000
```


The following is a GGA-PBEsol calculation of an optimized crystal structure of CaSCl2F, from Alexandria.

Output
total DFT energy (no corrections)	-3.42	eV per atom

```
data_CaSCl2F
_symmetry_space_group_name_H-M 'P 4/m m m'
_symmetry_Int_Tables_number 123
_symmetry_space_group_name_Hall '-P 4 2'
_cell_length_a 5.201
_cell_length_b 5.201
_cell_length_c 3.710
_cell_angle_alpha 90.00
_cell_angle_beta 90.00
_cell_angle_gamma 90.00
loop_
_atom_site_label
_atom_site_type_symbol
_atom_site_fract_x
_atom_site_fract_y
_atom_site_fract_z
Ca1 Ca 0.000 0.000 0.000
S1 S 0.500 0.500 0.000
Cl1 Cl 0.000 0.500 0.500
F1 F 0.500 0.500 0.500
```


The following is a GGA-PBEsol calculation of an optimized crystal structure of CaTa2ClF, from Alexandria.

Output
total DFT energy (no corrections)	-4.30	eV per atom

```
data_CaTa2ClF
_symmetry_space_group_name_H-M 'P 4/m m m'
_symmetry_Int_Tables_number 123
_symmetry_space_group_name_Hall '-P 4 2'
_cell_length_a 5.249
_cell_length_b 5.249
_cell_length_c 4.918
_cell_angle_alpha 90.00
_cell_angle_beta 90.00
_cell_angle_gamma 90.00
loop_
_atom_site_label
_atom_site_type_symbol
_atom_site_fract_x
_atom_site_fract_y
_atom_site_fract_z
Ca1 Ca 0.000 0.000 0.000
Ta1 Ta 0.000 0.500 0.000
Cl1 Cl 0.000 0.000 0.500
F1 F 0.500 0.500 0.500
```


The following is a GGA-PBEsol calculation of an optimized crystal structure of CaFeS2Cl, from Alexandria.

Output
total DFT energy (no corrections)	-4.13	eV per atom

```
data_CaFeS2Cl
_symmetry_space_group_name_H-M 'P 4/m m m'
_symmetry_Int_Tables_number 123
_symmetry_space_group_name_Hall '-P 4 2'
_cell_length_a 5.141
_cell_length_b 5.141
_cell_length_c 4.968
_cell_angle_alpha 90.00
_cell_angle_beta 90.00
_cell_angle_gamma 90.00
loop_
_atom_site_label
_atom_site_type_symbol
_atom_site_fract_x
_atom_site_fract_y
_atom_site_fract_z
Ca1 Ca 0.000 0.000 0.000
Fe1 Fe 0.500 0.500 0.500
S1 S 0.000 0.500 0.000
Cl1 Cl 0.000 0.000 0.500
```


The following is a GGA-PBEsol calculation of an optimized crystal structure of CaGa3Cl, from Alexandria.

Output
total DFT energy (no corrections)	-2.81	eV per atom

```
data_CaGa3Cl
_symmetry_space_group_name_H-M 'P m -3 m'
_symmetry_Int_Tables_number 221
_symmetry_space_group_name_Hall '-P 4 2 3'
_cell_length_a 5.101
_cell_length_b 5.101
_cell_length_c 5.101
_cell_angle_alpha 90.00
_cell_angle_beta 90.00
_cell_angle_gamma 90.00
loop_
_atom_site_label
_atom_site_type_symbol
_atom_site_fract_x
_atom_site_fract_y
_atom_site_fract_z
Ca1 Ca 0.000 0.000 0.000
Ga1 Ga 0.000 0.500 0.500
Cl1 Cl 0.500 0.500 0.500
```


The following is a GGA-PBEsol calculation of an optimized crystal structure of Ca2GePCl, from Alexandria.

Output
total DFT energy (no corrections)	-3.94	eV per atom

```
data_Ca2GePCl
_symmetry_space_group_name_H-M 'P 4/m m m'
_symmetry_Int_Tables_number 123
_symmetry_space_group_name_Hall '-P 4 2'
_cell_length_a 5.593
_cell_length_b 5.593
_cell_length_c 4.526
_cell_angle_alpha 90.00
_cell_angle_beta 90.00
_cell_angle_gamma 90.00
loop_
_atom_site_label
_atom_site_type_symbol
_atom_site_fract_x
_atom_site_fract_y
_atom_site_fract_z
Ca1 Ca 0.000 0.500 0.000
Ge1 Ge 0.000 0.000 0.000
P1 P 0.000 0.000 0.500
Cl1 Cl 0.500 0.500 0.500
```


The following is a GGA-PBEsol calculation of an optimized crystal structure of CaTaGeCl2, from Alexandria.

Output
total DFT energy (no corrections)	-4.25	eV per atom

```
data_CaTaGeCl2
_symmetry_space_group_name_H-M 'P 4/m m m'
_symmetry_Int_Tables_number 123
_symmetry_space_group_name_Hall '-P 4 2'
_cell_length_a 4.790
_cell_length_b 4.790
_cell_length_c 6.942
_cell_angle_alpha 90.00
_cell_angle_beta 90.00
_cell_angle_gamma 90.00
loop_
_atom_site_label
_atom_site_type_symbol
_atom_site_fract_x
_atom_site_fract_y
_atom_site_fract_z
Ca1 Ca 0.000 0.000 0.000
Ta1 Ta 0.000 0.000 0.500
Ge1 Ge 0.500 0.500 0.500
Cl1 Cl 0.000 0.500 0.000
```


The following is a GGA-PBEsol calculation of an optimized crystal structure of CaHCl, from Alexandria.

Output
total DFT energy (no corrections)	-4.02	eV per atom

```
data_CaHCl
_symmetry_space_group_name_H-M 'P 4/n m m'
_symmetry_Int_Tables_number 129
_cell_length_a 3.772
_cell_length_b 3.772
_cell_length_c 6.728
_cell_angle_alpha 90.00
_cell_angle_beta 90.00
_cell_angle_gamma 90.00
loop_
_symmetry_equiv_pos_as_xyz
'x,y,z'
'-x,-y,-z'
'-y+1/2,x,z'
'y+1/2,-x,-z'
'-x+1/2,-y+1/2,z'
'x+1/2,y+1/2,-z'
'y,-x+1/2,z'
'-y,x+1/2,-z'
'x+1/2,-y,-z'
'-x+1/2,y,z'
'-y,-x,-z'
'y,x,z'
'-x,y+1/2,-z'
'x,-y+1/2,z'
'y+1/2,x+1/2,-z'
'-y+1/2,-x+1/2,z'
loop_
_atom_site_label
_atom_site_type_symbol
_atom_site_fract_x
_atom_site_fract_y
_atom_site_fract_z
Ca1 Ca 0.250 0.250 0.194
H1 H 0.250 0.750 0.000
Cl1 Cl 0.250 0.250 0.651
```